DFT (PBE) results for a relaxed structure of LaRe3Tc.

a b c (Å): 4.6954 4.6954 4.6954
angles (deg): 90.00 90.00 90.00
Fractional positions:
Re 0.0000 0.0000 0.5000
La 0.0000 0.0000 0.0000
Tc 0.5000 0.5000 0.5000
Re 0.0000 0.5000 0.0000
Re 0.5000 0.0000 0.0000

Properties
E_tot (eV for the cell shown): -36.649
E_form (eV per atom): 3.20
SG: No. 221
Magnetization (μB per atom): 0.000
Polymorph energy (0 for the lowest one) (eV/atom): 1.924
N(E_F) (states/eV per atom): 1.874